The following is a PBE calculation of a geometry-optimized Li4PrAg structure, from Alexandria via LeMat-Bulk.

Cell lengths 5.5024, 5.5024, 5.5024 Å; angles 60.00, 60.00, 60.00 degrees
Last column: nearest neighbours and their distance in Å.
Positions (direct):
Ag 0.0000 0.0000 0.0000  12 Li 3.22, 4 Pr 3.37
Li 0.6281 0.1156 0.6281  6 Li 2.68-2.82
Li 0.6281 0.6281 0.1156  6 Li 2.68-2.82
Li 0.6281 0.6281 0.6281  6 Li 2.68-2.82
Li 0.1156 0.6281 0.6281  6 Li 2.68-2.82
Pr 0.2500 0.2500 0.2500  12 Li 3.23, 4 Ag 3.37

Computed properties:
**E_tot**: -2.559 eV/atom
**ΔH_f (0 K)**: -0.01 eV per atom
**SG**: F-43m


The following is a PBE calculation of a geometry-optimized LiPu2AlAu6 structure, from Alexandria via LeMat-Bulk.

Cell lengths 7.7585, 7.1553, 5.8556 Å; angles 46.55, 73.04, 92.62 degrees
Last column: nearest neighbours and their distance in Å.
Positions (direct):
Pu 0.1813 0.6186 0.6271  9 Au 3.01-3.30, 1 Al 3.27
Pu 0.8187 0.3814 0.3729  9 Au 3.01-3.30, 1 Al 3.27
Au 0.3972 0.2146 0.8717  1 Li 2.77, 4 Au 2.89-3.08, 1 Al 3.01, 1 Pu 3.06
Au 0.6028 0.7854 0.1283  1 Li 2.77, 4 Au 2.89-3.08, 1 Al 3.01, 1 Pu 3.06
Au 0.8384 0.8162 0.6014  1 Li 2.47, 1 Al 2.57
Au 0.1616 0.1838 0.3986  1 Li 2.47, 1 Al 2.57
Au 0.7418 0.2296 0.0266  1 Al 2.68, 1 Li 2.72, 3 Au 2.89-2.94
Au 0.2582 0.7704 0.9734  1 Al 2.68, 1 Li 2.72, 3 Au 2.89-2.94
Li 0.5000 0.5000 0.0000  4 Au 2.47-2.72
Al 0.0000 0.0000 0.0000  4 Au 2.57-2.68

Computed properties:
**E_tot**: -5.737 eV/atom
**ΔH_f (0 K)**: -0.34 eV per atom
**SG**: P-1


The following is a PBE calculation of a geometry-optimized KGeRh structure, from Alexandria via LeMat-Bulk.

Cell lengths 4.2506, 4.2506, 8.2332 Å; angles 90.00, 90.00, 90.00 degrees
Last column: nearest neighbours and their distance in Å.
Positions (direct):
Ge 0.0000 0.5000 0.3457  4 Rh 2.48
Ge 0.5000 0.0000 0.6543  4 Rh 2.48
K 0.5000 0.0000 0.1648  4 Ge 3.35, 4 Rh 3.48
K 0.0000 0.5000 0.8352  4 Ge 3.35, 4 Rh 3.48
Rh 0.5000 0.5000 0.5000  4 Ge 2.48
Rh 0.0000 0.0000 0.5000  4 Ge 2.48

Computed properties:
**E_tot**: -4.781 eV/atom
**ΔH_f (0 K)**: -0.43 eV per atom
**SG**: P4/nmm


The following is a PBE calculation of a geometry-optimized Pm5HoTl6 structure, from Alexandria via LeMat-Bulk.

Cell lengths 5.4680, 9.4586, 9.4747 Å; angles 60.06, 73.17, 54.56 degrees
Last column: nearest neighbours and their distance in Å.
Positions (direct):
Tl 0.2591 0.2417 0.0000  2 Ho 3.30-3.31, 6 Pm 3.35-3.38
Tl 0.7409 0.7583 0.0000  2 Ho 3.30-3.31, 6 Pm 3.35-3.38
Tl 0.7546 0.0815 0.3281  1 Ho 3.29, 7 Pm 3.32-3.38
Tl 0.2454 0.9185 0.6719  1 Ho 3.29, 7 Pm 3.32-3.38
Tl 0.7546 0.4096 0.6719  1 Ho 3.29, 7 Pm 3.32-3.38
Tl 0.2454 0.5904 0.3281  1 Ho 3.29, 7 Pm 3.32-3.38
Pm 0.0000 0.6655 0.6690  8 Tl 3.36-3.38
Pm 0.5000 0.5000 0.0000  8 Tl 3.33-3.38
Pm 0.5000 0.1699 0.6601  8 Tl 3.32-3.36
Pm 0.5000 0.8301 0.3399  8 Tl 3.32-3.36
Pm 0.0000 0.3345 0.3310  8 Tl 3.36-3.38
Ho 0.0000 0.0000 0.0000  8 Tl 3.29-3.31

Computed properties:
**E_tot**: -3.920 eV/atom
**ΔH_f (0 K)**: -0.38 eV per atom
**SG**: C2/m


The following is a PBE calculation of a geometry-optimized LaB2H8 structure, from Alexandria via LeMat-Bulk.

Cell lengths 6.2724, 4.3596, 4.3596 Å; angles 60.11, 69.31, 69.31 degrees
Last column: nearest neighbours and their distance in Å.
Positions (direct):
H 0.2238 0.9461 0.4133  1 B 1.24
H 0.7800 0.5848 0.5848  1 B 1.25
H 0.4942 0.8355 0.8355  1 B 1.22
H 0.5058 0.1645 0.1645  1 B 1.22
H 0.2200 0.4152 0.4152  1 B 1.25
H 0.2238 0.4133 0.9461  1 B 1.24
H 0.7762 0.0539 0.5867  1 B 1.24
H 0.7762 0.5867 0.0539  1 B 1.24
La 0.0000 0.0000 0.0000  12 H 2.52-2.53
B 0.7072 0.7651 0.7651  4 H 1.22-1.25
B 0.2928 0.2349 0.2349  4 H 1.22-1.25

Computed properties:
**E_tot**: -4.383 eV/atom
**SG**: C2/m
**Relative energy among the computed polymorphs**: 0.000 eV per atom


The following is a PBE calculation of a geometry-optimized SrTm2Si6 structure, from Alexandria via LeMat-Bulk.

Cell lengths 3.9319, 7.4959, 7.4959 Å; angles 69.64, 74.79, 74.79 degrees
Last column: nearest neighbours and their distance in Å.
Positions (direct):
Si 0.3142 0.9463 0.4255  3 Si 2.35-2.48
Si 0.5001 0.6537 0.3461  3 Si 2.35-2.63
Si 0.5001 0.3461 0.6537  3 Si 2.35-2.63
Si 0.6862 0.5745 0.0534  3 Si 2.35-2.48
Si 0.6862 0.0534 0.5745  3 Si 2.35-2.48
Si 0.3142 0.4255 0.9463  3 Si 2.35-2.48
Sr 0.9987 0.0007 0.0007  12 Si 3.56-3.58, 2 Sr 3.93
Tm 0.8517 0.6483 0.6483  10 Si 2.82-3.00
Tm 0.1486 0.3515 0.3515  10 Si 2.82-3.01

Computed properties:
**E_tot**: -5.162 eV/atom
**SG**: Imm2


The following is a PBE calculation of a geometry-optimized Li6Sn2Ge structure, from Alexandria via LeMat-Bulk.

Cell lengths 2.9954, 7.9755, 7.9758 Å; angles 120.00, 90.00, 90.00 degrees
Last column: nearest neighbours and their distance in Å.
Positions (direct):
Li 0.5000 0.0000 0.6456  1 Ge 2.83, 4 Sn 2.98, 6 Li 3.00
Li 0.0000 0.7149 0.7150  2 Ge 2.72, 2 Sn 2.87, 6 Li 3.00
Li 0.0000 0.9999 0.2850  2 Ge 2.72, 2 Sn 2.87, 6 Li 3.00
Li 0.5000 0.6453 0.0000  1 Ge 2.83, 4 Sn 2.98, 6 Li 3.00
Li 0.0000 0.2853 0.0000  2 Ge 2.72, 2 Sn 2.87, 6 Li 3.00
Li 0.5000 0.3545 0.3544  1 Ge 2.83, 4 Sn 2.98, 6 Li 3.00
Sn 0.0000 0.3333 0.6665  9 Li 2.87-2.98, 2 Sn 3.00
Sn 0.0000 0.6668 0.3335  9 Li 2.87-2.98, 2 Sn 3.00
Ge 0.5000 0.0001 0.0000  9 Li 2.72-2.83, 2 Ge 3.00

Computed properties:
**E_tot**: -3.023 eV/atom
**ΔH_f (0 K)**: -0.34 eV per atom
**SG**: P-62m
**Relative energy among the computed polymorphs**: 0.005 eV per atom


The following is a PBE calculation of a geometry-optimized Mg2AlSnN structure, from Alexandria via LeMat-Bulk.

Cell lengths 4.5329, 4.5329, 3.9479 Å; angles 90.00, 90.00, 90.00 degrees
Last column: nearest neighbours and their distance in Å.
Positions (direct):
Mg 0.0000 0.5000 0.0000  2 N 2.27
Mg 0.5000 0.0000 0.0000  2 N 2.27
N 0.0000 0.0000 0.0000  2 Al 1.97
Al 0.0000 0.0000 0.5000  2 N 1.97
Sn 0.5000 0.5000 0.5000  8 Mg 3.01, 4 Al 3.21

Computed properties:
**E_tot**: -4.175 eV/atom
**SG**: P4/mmm


The following is a PBE calculation of a geometry-optimized CoOs4Br structure, from Alexandria via LeMat-Bulk.

Cell lengths 5.1977, 5.1977, 5.1977 Å; angles 60.00, 60.00, 60.00 degrees
Last column: nearest neighbours and their distance in Å.
Positions (direct):
Os 0.8762 0.3746 0.3746  6 Os 2.59-2.61
Os 0.3746 0.8762 0.3746  6 Os 2.59-2.61
Os 0.3746 0.3746 0.8762  6 Os 2.59-2.61
Os 0.3746 0.3746 0.3746  6 Os 2.59-2.61
Br 0.7500 0.7500 0.7500  12 Os 3.05, 4 Co 3.18
Co 0.0000 0.0000 0.0000  12 Os 3.05, 4 Br 3.18

Computed properties:
**E_tot**: -7.447 eV/atom
**SG**: F-43m


The following is a PBE calculation of a geometry-optimized CuPd2Cl8 structure, from Alexandria via LeMat-Bulk.

Cell lengths 4.7553, 8.7947, 8.7947 Å; angles 66.10, 80.76, 80.76 degrees
Last column: nearest neighbours and their distance in Å.
Positions (direct):
Cl 0.2704 0.2222 0.2222  2 Pd 2.39-2.40
Cl 0.1598 0.0552 0.7321  1 Cu 2.23
Cl 0.7296 0.7778 0.7778  2 Pd 2.39-2.40
Cl 0.1598 0.7321 0.0552  1 Cu 2.23
Cl 0.8402 0.2679 0.9448  1 Cu 2.23
Cl 0.3264 0.6030 0.6030  1 Pd 2.24
Cl 0.6736 0.3970 0.3970  1 Pd 2.24
Cl 0.8402 0.9448 0.2679  1 Cu 2.23
Cu 0.0000 0.0000 0.0000  4 Cl 2.23
Pd 0.7584 0.2421 0.2421  5 Cl 2.24-2.50
Pd 0.2416 0.7579 0.7579  5 Cl 2.24-2.50

Computed properties:
**E_tot**: -2.884 eV/atom
**SG**: C2/m
**Relative energy among the computed polymorphs**: 0.091 eV per atom


The following is a PBE calculation of a geometry-optimized Al2CrSb structure, from Alexandria via LeMat-Bulk.

Cell lengths 7.7049, 7.7049, 6.1201 Å; angles 50.99, 50.99, 90.00 degrees
Last column: nearest neighbours and their distance in Å.
Positions (direct):
Cr 0.2500 0.7500 0.5000  2 Sb 2.79, 4 Al 2.80
Cr 0.5000 0.5000 0.0000  2 Sb 2.79, 4 Al 2.80
Sb 0.7500 0.2500 0.5000  2 Cr 2.79, 4 Al 2.82
Sb 0.0000 0.0000 0.0000  2 Cr 2.79, 4 Al 2.82
Al 0.6234 0.1250 0.2500  2 Al 2.79, 2 Cr 2.80, 2 Sb 2.82
Al 0.1266 0.6250 0.2500  2 Al 2.79, 2 Cr 2.80, 2 Sb 2.82
Al 0.3750 0.3766 0.7500  2 Al 2.79, 2 Cr 2.80, 2 Sb 2.82
Al 0.8750 0.8734 0.7500  2 Al 2.79, 2 Cr 2.80, 2 Sb 2.82

Computed properties:
**E_tot**: -4.914 eV/atom
**SG**: I-42d


The following is a PBE calculation of a geometry-optimized AlP2Rh structure, from Alexandria via LeMat-Bulk.

Cell lengths 3.3122, 3.9205, 4.5170 Å; angles 90.00, 90.00, 90.00 degrees
Last column: nearest neighbours and their distance in Å.
Positions (direct):
P 0.5000 0.5000 0.0000  4 P 2.57, 4 Al 2.80
P 0.0000 0.0000 0.0000  4 P 2.57, 4 Rh 2.80
Rh 0.5000 0.0000 0.5000  4 Al 2.57, 4 P 2.80
Al 0.0000 0.5000 0.5000  4 Rh 2.57, 4 P 2.80

Computed properties:
**E_tot**: -5.414 eV/atom
**ΔH_f (0 K)**: 0.06 eV per atom
**SG**: Pmmm


The following is a PBE calculation of a geometry-optimized Ce4Bi2PSe structure, from Alexandria via LeMat-Bulk.

Cell lengths 4.3216, 7.6722, 7.4951 Å; angles 71.06, 90.00, 90.00 degrees
Last column: nearest neighbours and their distance in Å.
Positions (direct):
Ce 0.5000 0.2817 0.7323  2 P 2.93, 1 Se 3.00, 3 Bi 3.19-3.25
Ce 0.0000 0.7220 0.7515  1 P 2.92, 2 Se 3.00, 3 Bi 3.19-3.26
Ce 0.5000 0.7183 0.2677  2 P 2.93, 1 Se 3.00, 3 Bi 3.19-3.25
Ce 0.0000 0.2780 0.2485  1 P 2.92, 2 Se 3.00, 3 Bi 3.19-3.26
P 0.0000 0.5000 0.5000  6 Ce 2.92-2.93
Bi 0.0000 0.0000 0.0000  6 Ce 3.25-3.26
Bi 0.5000 0.0000 0.5000  6 Ce 3.19
Se 0.5000 0.5000 0.0000  6 Ce 3.00

Computed properties:
**E_tot**: -6.250 eV/atom
**SG**: P2/m